A plane-wave DFT calculation with PBE was carried out for an optimized crystal structure of Cs2CeRuO6.

The structure belongs to space group P-3m1 (No. 164); the cell edges are 6.6553, 6.6553 and 5.8616 Å and the angles 90.00°, 90.00° and 120.00°. Symmetry generates all atoms from Cs at (0.3333, 0.6667, 0.3641), Ce at (0.0000, 0.0000, 0.0000), Ru at (0.0000, 0.0000, 0.5000) and O at (0.1304, 0.2608, 0.7143).

For the mass density, the calculation gives 4.45 g/cm3. The value obtained for the electronic total energy is -6.44 eV/atom. The value obtained for the uncorrected formation energy is -1.77 eV/atom.

A plane-wave DFT calculation with PBE was carried out for an optimized crystal structure of CsCeSO.

The structure belongs to space group Cm (No. 8); the cell edges are 6.779, 3.914 and 8.144 Å and the angles 90.00°, 106.03° and 90.00°. Symmetry generates all atoms from Cs at (0.000, 0.000, 0.000), Ce at (0.341, 0.500, 0.527), S at (0.434, 0.000, 0.303) and O at (0.213, 0.000, 0.641).

For the mass density, the calculation gives 5.14 g/cm3. The value obtained for the electronic total energy is -6.01 eV/atom. The value obtained for the uncorrected formation energy is -2.04 eV/atom.

A plane-wave DFT calculation with PBE was carried out for an optimized crystal structure of Cs2CeSbO6.

The structure belongs to space group Fm-3m (No. 225); the cell edges are 8.714, 8.714 and 8.714 Å and the angles 90.00°, 90.00° and 90.00°. Symmetry generates all atoms from Cs at (0.250, 0.250, 0.250), Ce at (0.000, 0.000, 0.000), Sb at (0.000, 0.000, 0.500) and O at (0.000, 0.000, 0.265).

For the mass density, the calculation gives 6.26 g/cm3. The value obtained for the electronic total energy is -6.05 eV/atom. The value obtained for the uncorrected formation energy is -1.90 eV/atom.

A plane-wave DFT calculation with PBE was carried out for an optimized crystal structure of Cs2CeSb2O6.

The structure belongs to space group C2/m (No. 12); the cell edges are 10.986, 6.340 and 8.049 Å and the angles 90.00°, 99.26° and 90.00°. Symmetry generates all atoms from Cs at (0.191, 0.000, 0.201), Ce at (0.000, 0.500, 0.000), Sb at (0.135, 0.000, 0.728), O at (0.069, 0.237, 0.845) and O at (0.193, 0.500, 0.152).

For the mass density, the calculation gives 4.47 g/cm3. The value obtained for the electronic total energy is -6.15 eV/atom. The value obtained for the uncorrected formation energy is -2.00 eV/atom.

A plane-wave DFT calculation with PBE was carried out for an optimized crystal structure of CsCeSbO5.

The structure belongs to space group C2/c (No. 15); the cell edges are 7.971, 10.698 and 8.271 Å and the angles 90.00°, 115.03° and 90.00°. Symmetry generates all atoms from Cs at (0.000, 0.168, 0.250), Ce at (0.000, 0.500, 0.000), Sb at (0.000, 0.192, 0.750), O at (0.000, 0.452, 0.250), O at (0.082, 0.296, 0.609) and O at (0.197, 0.084, 0.899).

For the mass density, the calculation gives 4.93 g/cm3. The value obtained for the electronic total energy is -6.62 eV/atom. The value obtained for the uncorrected formation energy is -2.15 eV/atom.

A plane-wave DFT calculation with PBE was carried out for an optimized crystal structure of CsCe2SbO8.

The structure belongs to space group C2/m (No. 12); the cell edges are 7.017, 6.970 and 8.233 Å and the angles 90.00°, 90.09° and 90.00°. Symmetry generates all atoms from Cs at (0.000, 0.000, 0.000), Ce at (0.000, 0.500, 0.287), Sb at (0.000, 0.000, 0.500), O at (0.001, 0.197, 0.679), O at (0.104, 0.500, 0.000) and O at (0.208, 0.500, 0.500).

For the mass density, the calculation gives 5.47 g/cm3. The value obtained for the electronic total energy is -6.91 eV/atom. The value obtained for the uncorrected formation energy is -2.20 eV/atom.

A plane-wave DFT calculation with PBE was carried out for an optimized crystal structure of CsCeScO4.

The structure belongs to space group P2_1/m (No. 11); the cell edges are 6.147, 6.214 and 7.877 Å and the angles 90.00°, 103.62° and 90.00°. Symmetry generates all atoms from Cs at (0.143, 0.250, 0.110), Ce at (0.164, 0.750, 0.467), Sc at (0.391, 0.250, 0.670), O at (0.153, 0.022, 0.658), O at (0.280, 0.750, 0.223) and O at (0.467, 0.250, 0.444).

For the mass density, the calculation gives 4.34 g/cm3. The value obtained for the electronic total energy is -7.58 eV/atom. The value obtained for the uncorrected formation energy is -2.88 eV/atom.

A plane-wave DFT calculation with PBE was carried out for an optimized crystal structure of CsCeSeO5.

The structure belongs to space group C2/c (No. 15); the cell edges are 7.873, 10.607 and 8.211 Å and the angles 90.00°, 114.75° and 90.00°. Symmetry generates all atoms from Cs at (0.000, 0.166, 0.250), Ce at (0.000, 0.500, 0.000), Se at (0.000, 0.190, 0.750), O at (0.000, 0.445, 0.250), O at (0.077, 0.288, 0.620) and O at (0.183, 0.092, 0.889).

For the mass density, the calculation gives 4.61 g/cm3. The value obtained for the electronic total energy is -6.20 eV/atom. The value obtained for the uncorrected formation energy is -1.81 eV/atom.

A plane-wave DFT calculation with PBE was carried out for an optimized crystal structure of CsCeSi2O6.

The structure belongs to space group C2/c (No. 15); the cell edges are 10.749, 10.474 and 5.541 Å and the angles 90.00°, 99.59° and 90.00°. Symmetry generates all atoms from Cs at (0.000, 0.174, 0.250), Ce at (0.000, 0.376, 0.750), Si at (0.226, 0.079, 0.803), O at (0.119, 0.431, 0.144), O at (0.154, 0.215, 0.763) and O at (0.179, 0.006, 0.043).

For the mass density, the calculation gives 4.59 g/cm3. The value obtained for the electronic total energy is -7.51 eV/atom. The value obtained for the uncorrected formation energy is -2.77 eV/atom.

A plane-wave DFT calculation with PBE was carried out for an optimized crystal structure of Cs2CeSi2O6.

The structure belongs to space group R-3m (No. 166, hexagonal axes); the cell edges are 6.0581, 6.0581 and 18.0107 Å and the angles 90.00°, 90.00° and 120.00°. Symmetry generates all atoms from Cs at (0.0000, 0.0000, 0.2234), Ce at (0.0000, 0.0000, 0.0000), Si at (0.0000, 0.0000, 0.4322) and O at (0.0317, 0.5159, 0.2629).

For the mass density, the calculation gives 4.86 g/cm3. The value obtained for the electronic total energy is -6.95 eV/atom. The value obtained for the uncorrected formation energy is -2.56 eV/atom.

A plane-wave DFT calculation with PBE was carried out for an optimized crystal structure of Cs2CeSm3O8.

The structure belongs to space group R3m (No. 160, hexagonal axes); the cell edges are 7.1825, 7.1825 and 21.7287 Å and the angles 90.00°, 90.00° and 120.00°. Symmetry generates all atoms from Cs at (0.0000, 0.0000, 0.0000), Cs at (0.0000, 0.0000, 0.3509), Ce at (0.0000, 0.0000, 0.5201), Sm at (0.0032, 0.5016, 0.5032), O at (0.0000, 0.0000, 0.2186), O at (0.0000, 0.0000, 0.7879), O at (0.1688, 0.3377, 0.5593) and O at (0.1778, 0.3555, 0.1266).

For the mass density, the calculation gives 5.05 g/cm3. The value obtained for the electronic total energy is -7.14 eV/atom. The value obtained for the uncorrected formation energy is -2.75 eV/atom.

A plane-wave DFT calculation with PBE was carried out for an optimized crystal structure of Cs2CeSn2O6.

The structure belongs to space group C2/m (No. 12); the cell edges are 11.123, 6.458 and 7.641 Å and the angles 90.00°, 120.95° and 90.00°. Symmetry generates all atoms from Cs at (0.213, 0.000, 0.183), Ce at (0.000, 0.000, 0.500), Sn at (0.057, 0.500, 0.215), O at (0.017, 0.248, 0.722) and O at (0.235, 0.000, 0.637).

For the mass density, the calculation gives 5.22 g/cm3. The value obtained for the electronic total energy is -6.09 eV/atom. The value obtained for the uncorrected formation energy is -1.97 eV/atom.

A plane-wave DFT calculation with PBE was carried out for an optimized crystal structure of Cs3CeSn2O8.

The structure belongs to space group P-3m1 (No. 164); the cell edges are 6.4239, 6.4239 and 8.5771 Å and the angles 90.00°, 90.00° and 120.00°. Symmetry generates all atoms from Cs at (0.0000, 0.0000, 0.0000), Cs at (0.3333, 0.6667, 0.7061), Ce at (0.0000, 0.0000, 0.5000), Sn at (0.3333, 0.6667, 0.2693), O at (0.1651, 0.3302, 0.3466) and O at (0.3333, 0.6667, 0.0394).

For the mass density, the calculation gives 4.90 g/cm3. The value obtained for the electronic total energy is -5.81 eV/atom. The value obtained for the uncorrected formation energy is -1.80 eV/atom.

A plane-wave DFT calculation with PBE was carried out for an optimized crystal structure of Cs2SrCe3O8.

The structure belongs to space group R3m (No. 160, hexagonal axes); the cell edges are 7.2336, 7.2336 and 21.5043 Å and the angles 90.00°, 90.00° and 120.00°. Symmetry generates all atoms from Cs at (0.0000, 0.0000, 0.0000), Cs at (0.0000, 0.0000, 0.3554), Sr at (0.0000, 0.0000, 0.5247), Ce at (0.0022, 0.5011, 0.5012), O at (0.0000, 0.0000, 0.2171), O at (0.0000, 0.0000, 0.7863), O at (0.0160, 0.5080, 0.7896) and O at (0.1879, 0.3757, 0.5537).

For the mass density, the calculation gives 4.61 g/cm3. The value obtained for the electronic total energy is -7.22 eV/atom. The value obtained for the uncorrected formation energy is -2.88 eV/atom.

A plane-wave DFT calculation with PBE was carried out for an optimized crystal structure of Cs2CeTaO6.

The structure belongs to space group R-3m (No. 166, hexagonal axes); the cell edges are 6.4391, 6.4391 and 31.0058 Å and the angles 90.00°, 90.00° and 120.00°. Symmetry generates all atoms from Cs at (0.0000, 0.0000, 0.1315), Cs at (0.0000, 0.0000, 0.2787), Ce at (0.0000, 0.0000, 0.4009), Ta at (0.0000, 0.0000, 0.0000), Ta at (0.0000, 0.0000, 0.5000), O at (0.0303, 0.5152, 0.7029) and O at (0.0609, 0.5305, 0.1246).

For the mass density, the calculation gives 6.11 g/cm3. The value obtained for the electronic total energy is -7.35 eV/atom. The value obtained for the uncorrected formation energy is -2.43 eV/atom.

A plane-wave DFT calculation with PBE was carried out for an optimized crystal structure of CsCe2TaO8.

The structure belongs to space group C2/m (No. 12); the cell edges are 7.006, 6.974 and 8.198 Å and the angles 90.00°, 91.29° and 90.00°. Symmetry generates all atoms from Cs at (0.000, 0.000, 0.000), Ce at (0.005, 0.500, 0.287), Ta at (0.000, 0.000, 0.500), O at (0.009, 0.197, 0.679), O at (0.104, 0.500, 0.001) and O at (0.211, 0.500, 0.504).

For the mass density, the calculation gives 5.99 g/cm3. The value obtained for the electronic total energy is -7.97 eV/atom. The value obtained for the uncorrected formation energy is -2.62 eV/atom.

A plane-wave DFT calculation with PBE was carried out for an optimized crystal structure of CsTb2Ce2O7.

The structure belongs to space group I4/mmm (No. 139); the cell edges are 4.638, 4.638 and 19.744 Å and the angles 90.00°, 90.00° and 90.00°. Symmetry generates all atoms from Cs at (0.000, 0.000, 0.000), Tb at (0.000, 0.500, 0.250), Ce at (0.000, 0.000, 0.389), O at (0.000, 0.000, 0.264), O at (0.000, 0.000, 0.500) and O at (0.000, 0.500, 0.135).

For the mass density, the calculation gives 6.59 g/cm3. The value obtained for the electronic total energy is -7.83 eV/atom. The value obtained for the uncorrected formation energy is -3.10 eV/atom.

A plane-wave DFT calculation with PBE was carried out for an optimized crystal structure of Cs2TbCeO4.

The structure belongs to space group P2/m (No. 10); the cell edges are 6.290, 3.639 and 7.257 Å and the angles 90.00°, 106.72° and 90.00°. Symmetry generates all atoms from Cs at (0.000, 0.000, 0.000), Cs at (0.500, 0.500, 0.000), Tb at (0.000, 0.500, 0.500), Ce at (0.500, 0.000, 0.500), O at (0.217, 0.000, 0.661) and O at (0.275, 0.500, 0.339).

For the mass density, the calculation gives 6.56 g/cm3. The value obtained for the electronic total energy is -6.58 eV/atom. The value obtained for the uncorrected formation energy is -2.56 eV/atom.

A plane-wave DFT calculation with PBE was carried out for an optimized crystal structure of CsCeTeO5.

The structure belongs to space group C2/c (No. 15); the cell edges are 8.035, 10.834 and 8.292 Å and the angles 90.00°, 114.44° and 90.00°. Symmetry generates all atoms from Cs at (0.000, 0.170, 0.250), Ce at (0.000, 0.500, 0.000), Te at (0.000, 0.189, 0.750), O at (0.000, 0.451, 0.250), O at (0.082, 0.296, 0.610) and O at (0.197, 0.083, 0.899).

For the mass density, the calculation gives 4.86 g/cm3. The value obtained for the electronic total energy is -6.28 eV/atom. The value obtained for the uncorrected formation energy is -1.94 eV/atom.